DFT (PBE-GGA) results for an optimized crystal structure of CsZr3Rh.

Cell lengths 5.2401, 5.2401, 5.2401 Å; angles 90.00, 90.00, 90.00 degrees
Last column: nearest neighbours and their distance in Å.
Sites, in units of the cell vectors:
1 Cs 0.0000 0.0000 0.0000  12 Zr 3.71
2 Zr 0.0000 0.5000 0.5000  2 Rh 2.62
3 Zr 0.5000 0.0000 0.5000  2 Rh 2.62
4 Zr 0.5000 0.5000 0.0000  2 Rh 2.62
5 Rh 0.5000 0.5000 0.5000  6 Zr 2.62

ΔE to the lowest computed polymorph = 0 meV/atom
energy relative to the elements = 0.5644 eV per atom
spin magnetization = 0.0 μB/f.u.